A relaxed structure of CsCeP2S8. Source: the Alexandria database, functional GGA-PBE.

Output
Space-group type: P-3
Calculated total energy, eV for the cell shown: -58.55

```
CsCeP2S8
1.0
6.233 0.000 0.000
-3.116 5.398 0.000
0.000 0.000 10.140
Cs Ce P S
1 1 2 8
direct
0.000 0.000 0.000
0.000 0.000 0.500
0.333 0.667 0.725
0.667 0.333 0.275
0.008 0.363 0.662
0.333 0.667 0.923
0.355 0.992 0.662
0.363 0.355 0.338
0.637 0.645 0.662
0.645 0.008 0.338
0.667 0.333 0.077
0.992 0.637 0.338
```

=====

A relaxed structure of Cs2CeP2Se6. Source: the Alexandria database, functional GGA-PBE.

Output
Space-group type: C2/m
Calculated total energy, eV for the cell shown: -48.09

```
Cs2CeP2Se6
1.0
6.258 -3.692 0.000
6.258 3.692 0.000
-3.790 0.000 8.274
Cs Ce P Se
2 1 2 6
direct
0.201 0.201 0.162
0.799 0.799 0.838
0.000 0.000 0.500
0.428 0.428 0.794
0.572 0.572 0.206
0.227 0.717 0.242
0.244 0.244 0.588
0.283 0.773 0.758
0.717 0.227 0.242
0.756 0.756 0.412
0.773 0.283 0.758
```

=====

A relaxed structure of Cs2CePaS6. Source: the Alexandria database, functional GGA-PBE.

Output
Space-group type: Fm-3m
Calculated total energy, eV for the cell shown: -56.69

```
Cs2CePaS6
1.0
0.000 5.362 5.362
5.362 0.000 5.362
5.362 5.362 0.000
Cs Ce Pa S
2 1 1 6
direct
0.250 0.250 0.250
0.750 0.750 0.750
0.000 0.000 0.000
0.500 0.500 0.500
0.254 0.254 0.746
0.254 0.746 0.254
0.254 0.746 0.746
0.746 0.254 0.254
0.746 0.254 0.746
0.746 0.746 0.254
```

=====

A relaxed structure of Cs2Ce2PaSe6. Source: the Alexandria database, functional GGA-PBE.

Output
Space-group type: C2/m
Calculated total energy, eV for the cell shown: -61.68

```
Cs2Ce2PaSe6
1.0
3.751 -6.461 0.000
3.751 6.461 0.000
-2.542 0.000 8.568
Cs Ce Pa Se
2 2 1 6
direct
0.170 0.830 0.000
0.830 0.170 0.000
0.334 0.666 0.500
0.666 0.334 0.500
0.000 0.000 0.500
0.062 0.384 0.684
0.257 0.257 0.316
0.384 0.062 0.684
0.616 0.938 0.316
0.743 0.743 0.684
0.938 0.616 0.316
```

=====

Q: calculated total energy of number 1 (CsCeP2S8)?
A: -58.55 eV for the cell shown

=====

Q: Among the records above, which one has the highest calculated total energy?
A: Cs2CeP2Se6

=====

Copy entry 1 word for word.
A relaxed structure of CsCeP2S8. Source: the Alexandria database, functional GGA-PBE.

Output
Space-group type: P-3
Calculated total energy, eV for the cell shown: -58.55

```
CsCeP2S8
1.0
6.233 0.000 0.000
-3.116 5.398 0.000
0.000 0.000 10.140
Cs Ce P S
1 1 2 8
direct
0.000 0.000 0.000
0.000 0.000 0.500
0.333 0.667 0.725
0.667 0.333 0.275
0.008 0.363 0.662
0.333 0.667 0.923
0.355 0.992 0.662
0.363 0.355 0.338
0.637 0.645 0.662
0.645 0.008 0.338
0.667 0.333 0.077
0.992 0.637 0.338
```